# 1
The following is a DFT calculation (PBE) of a geometry-optimized Co3SiH structure.

Unit cell a=3.555 b=4.987 c=5.036 alpha=90.00 beta=90.86 gamma=90.00
Fractional positions:
Co 0.000 0.000 0.000
Co 0.013 0.500 0.513
Co 0.480 0.242 0.260
Co 0.480 0.758 0.260
Co 0.513 0.252 0.749
Co 0.513 0.748 0.749
Si 0.000 0.000 0.504
Si 0.039 0.500 0.974
H 0.505 0.000 0.998
H 0.734 0.500 0.265

Summary:
Space group ... Pm, No. 6


# 2
The following is a DFT calculation (PBE) of a geometry-optimized Pm2TcGe structure.

Unit cell a=7.175 b=7.175 c=7.175 alpha=90.00 beta=90.00 gamma=90.00
Fractional positions:
Pm 0.250 0.250 0.250
Pm 0.250 0.250 0.750
Pm 0.250 0.750 0.250
Pm 0.250 0.750 0.750
Pm 0.750 0.250 0.250
Pm 0.750 0.250 0.750
Pm 0.750 0.750 0.250
Pm 0.750 0.750 0.750
Tc 0.000 0.000 0.000
Tc 0.000 0.500 0.500
Tc 0.500 0.000 0.500
Tc 0.500 0.500 0.000
Ge 0.000 0.000 0.500
Ge 0.000 0.500 0.000
Ge 0.500 0.000 0.000
Ge 0.500 0.500 0.500

Summary:
Energy of formation from the pure elements ... -0.154 eV per atom
Space group ... Fm-3m, No. 225


# 3
The following is a DFT calculation (PBE) of a geometry-optimized Pu2Si6OsRh structure.

Unit cell a=12.829 b=12.829 c=12.829 alpha=26.27 beta=26.27 gamma=26.27
Fractional positions:
Pu 0.126 0.126 0.126
Pu 0.278 0.278 0.278
Pu 0.722 0.722 0.722
Pu 0.874 0.874 0.874
Si 0.065 0.661 0.661
Si 0.191 0.191 0.778
Si 0.191 0.778 0.191
Si 0.222 0.809 0.809
Si 0.339 0.339 0.935
Si 0.339 0.935 0.339
Si 0.661 0.065 0.661
Si 0.661 0.661 0.065
Si 0.778 0.191 0.191
Si 0.809 0.222 0.809
Si 0.809 0.809 0.222
Si 0.935 0.339 0.339
Os 0.423 0.423 0.423
Os 0.577 0.577 0.577
Rh 0.000 0.000 0.000
Rh 0.500 0.500 0.500

Summary:
Formation energy (no corrections) ... -0.404 eV/atom
Space group ... R-3m, No. 166


no.,N(E_F) (states/eV/cell),energy (eV per atom)
1,10.3,-6.206
2,10.4,-6.275
3,23.6,-8.382